## NaNi3F (GGA+U)

Data for a geometry-optimized NaNi3F structure.

ρ = 4.63 g/cm3
size of the total moment = 2.72 μB/f.u.
relative energy among the computed polymorphs = 0 meV/atom

Unit cell a=4.2773 b=4.2773 c=4.2773 alpha=90.00 beta=90.00 gamma=90.00
Space group Pm-3m (No. 221)
Symmetry-distinct sites (fractional):
Na 0.0000 0.0000 0.0000 x1
Ni 0.0000 0.5000 0.5000 x3
F 0.5000 0.5000 0.5000 x1